Record 1
VASP calculation (GGA-PBE) on a relaxed CaBiIr2Pt crystal.

Values from the calculation:
SG = P4/mmm (123)
DFT total energy = -3.9132 eV/atom
Crystal system = tetragonal
DOS at the Fermi energy = 7.2 states/eV per cell

Unit cell a=4.7558 b=4.7558 c=5.4309 alpha=90.00 beta=90.00 gamma=90.00
With the nearest neighbours (Å) after each atom.
Element x y z (fractional)
Ca (0.0000, 0.0000, 0.0000)  4 Ir 2.38
Bi (0.0000, 0.0000, 0.5000)  2 Ca 2.72
Ir (0.0000, 0.5000, 0.0000)  2 Ca 2.38
Ir (0.5000, 0.0000, 0.0000)  2 Ca 2.38
Pt (0.5000, 0.5000, 0.5000)  4 Bi 3.36, 8 Ir 3.61

---

Record 2
VASP calculation (GGA-PBE) on a relaxed Ca2BiSbIr crystal.

Values from the calculation:
SG = P4/mmm (123)
DFT total energy = -4.5138 eV/atom
Crystal system = tetragonal
Formation energy from raw total energies = -340 meV per atom
DOS at the Fermi energy = 1.9 states/eV per cell

Unit cell a=5.5137 b=5.5137 c=5.0792 alpha=90.00 beta=90.00 gamma=90.00
With the nearest neighbours (Å) after each atom.
Element x y z (fractional)
Ca (0.0000, 0.5000, 0.0000)  2 Ir 2.76
Ca (0.5000, 0.0000, 0.0000)  2 Ir 2.76
Bi (0.0000, 0.0000, 0.5000)  2 Ir 2.54
Sb (0.5000, 0.5000, 0.5000)  8 Ca 3.75, 4 Bi 3.90
Ir (0.0000, 0.0000, 0.0000)  2 Bi 2.54, 4 Ca 2.76